Compound: Lu4Zn2CN
Source: OQMD via LeMat-Bulk
Functional: PBE-GGA
Structure: relaxed

Cell and atoms, written as CIF:
```
data_Lu4Zn2CN
_symmetry_space_group_name_H-M 'P -3 m 1'
_symmetry_Int_Tables_number 164
_symmetry_space_group_name_Hall '-P 3 2"'
_cell_length_a 3.4214
_cell_length_b 3.4214
_cell_length_c 14.8802
_cell_angle_alpha 90.00
_cell_angle_beta 90.00
_cell_angle_gamma 120.00
loop_
_atom_site_label
_atom_site_fract_x
_atom_site_fract_y
_atom_site_fract_z
_atom_site_occupancy
Lu1 0.3333 0.6667 0.0891 1
Lu2 0.3333 0.6667 0.4106 1
Zn1 0.3333 0.6667 0.7451 1
C1 0.0000 0.0000 0.0000 1
N1 0.0000 0.0000 0.5000 1
```

Properties
uncorrected energy: -43.063 eV for the cell shown
calculated volume: 18.86 A^3/atom

Compound: CsTcSn
Source: OQMD via LeMat-Bulk
Functional: PBE-GGA
Structure: relaxed

Cell and atoms, written as CIF:
```
data_CsTcSn
_symmetry_space_group_name_H-M 'F -4 3 m'
_symmetry_Int_Tables_number 216
_symmetry_space_group_name_Hall 'F -4 2 3'
_cell_length_a 7.6697
_cell_length_b 7.6697
_cell_length_c 7.6697
_cell_angle_alpha 90.00
_cell_angle_beta 90.00
_cell_angle_gamma 90.00
loop_
_atom_site_label
_atom_site_fract_x
_atom_site_fract_y
_atom_site_fract_z
_atom_site_occupancy
Cs1 0.0000 0.0000 0.0000 1
Tc1 0.0000 0.0000 0.5000 1
Sn1 0.2500 0.2500 0.2500 1
```

Properties
calculated volume: 37.60 A^3/atom
E above lowest polymorph: 315.0 meV per atom

Compound: SrPrCo
Source: OQMD via LeMat-Bulk
Functional: PBE-GGA
Structure: relaxed

Cell and atoms, written as CIF:
```
data_SrPrCo
_symmetry_space_group_name_H-M 'F -4 3 m'
_symmetry_Int_Tables_number 216
_symmetry_space_group_name_Hall 'F -4 2 3'
_cell_length_a 6.9827
_cell_length_b 6.9827
_cell_length_c 6.9827
_cell_angle_alpha 90.00
_cell_angle_beta 90.00
_cell_angle_gamma 90.00
loop_
_atom_site_label
_atom_site_fract_x
_atom_site_fract_y
_atom_site_fract_z
_atom_site_occupancy
Sr1 0.0000 0.0000 0.0000 1
Pr1 0.0000 0.0000 0.5000 1
Co1 0.2500 0.2500 0.7500 1
```

Properties
calculated volume: 28.37 A^3/atom
E above lowest polymorph: 0.0 meV per atom

Compound: Th2Fe2Co15
Source: OQMD via LeMat-Bulk
Functional: PBE-GGA
Structure: relaxed

Cell and atoms, written as CIF:
```
data_Th2Fe2Co15
_symmetry_space_group_name_H-M 'R -3 m'
_symmetry_Int_Tables_number 166
_symmetry_space_group_name_Hall '-R 3 2"'
_cell_length_a 8.3407
_cell_length_b 8.3407
_cell_length_c 12.1341
_cell_angle_alpha 90.00
_cell_angle_beta 90.00
_cell_angle_gamma 120.00
loop_
_atom_site_label
_atom_site_fract_x
_atom_site_fract_y
_atom_site_fract_z
_atom_site_occupancy
Th1 0.0000 0.0000 0.1553 1
Fe1 0.0000 0.0000 0.4024 1
Co1 0.0000 0.2858 0.5000 1
Co2 0.0000 0.5000 0.0000 1
Co3 0.0039 0.5020 0.3478 1
```

Properties
formation enthalpy at 0 K: -124 meV per atom
calculated volume: 12.83 A^3/atom

Compound: Dy4Er3Te2Pd2
Source: OQMD via LeMat-Bulk
Functional: PBE-GGA
Structure: relaxed

Cell and atoms, written as CIF:
```
data_Dy4Er3Te2Pd2
_symmetry_space_group_name_H-M 'I m m 2'
_symmetry_Int_Tables_number 44
_cell_length_a 3.9245
_cell_length_b 15.7280
_cell_length_c 9.6392
_cell_angle_alpha 90.00
_cell_angle_beta 90.00
_cell_angle_gamma 90.00
loop_
_symmetry_equiv_pos_as_xyz
'x,y,z'
'-x,-y,z'
'-x,y,z'
'x,-y,z'
'x+1/2,y+1/2,z+1/2'
'-x+1/2,-y+1/2,z+1/2'
'-x+1/2,y+1/2,z+1/2'
'x+1/2,-y+1/2,z+1/2'
loop_
_atom_site_label
_atom_site_fract_x
_atom_site_fract_y
_atom_site_fract_z
_atom_site_occupancy
Dy1 0.0000 0.1287 0.0000 1
Dy2 0.0000 0.3178 0.7937 1
Er1 0.0000 0.0000 0.4179 1
Er2 0.0000 0.3566 0.1516 1
Te1 0.0000 0.0000 0.7528 1
Te2 0.0000 0.5000 0.6539 1
Pd1 0.0000 0.2363 0.4904 1
```

Properties
calculated volume: 27.04 A^3/atom
E above lowest polymorph: 7.2 meV per atom

Compound: RbHoO2
Source: OQMD via LeMat-Bulk
Functional: PBE-GGA
Structure: relaxed

Cell and atoms, written as CIF:
```
data_RbHoO2
_symmetry_space_group_name_H-M 'R -3 m'
_symmetry_Int_Tables_number 166
_symmetry_space_group_name_Hall '-R 3 2"'
_cell_length_a 3.4587
_cell_length_b 3.4587
_cell_length_c 19.4303
_cell_angle_alpha 90.00
_cell_angle_beta 90.00
_cell_angle_gamma 120.00
loop_
_atom_site_label
_atom_site_fract_x
_atom_site_fract_y
_atom_site_fract_z
_atom_site_occupancy
Rb1 0.0000 0.0000 0.0000 1
Ho1 0.0000 0.0000 0.5000 1
O1 0.0000 0.0000 0.2254 1
```

Properties
uncorrected energy: -78.865 eV for the cell shown
calculated volume: 16.77 A^3/atom